Record 1
{"formula": "Np2BeB10", "functional": "GGA-PBE", "state": "relaxed", "cell": [[5.4828, 0.0000, 0.0000], [0.0000, 10.8575, 0.0000], [0.0000, 0.0000, 4.0957]], "species": ["Np", "Np", "Np", "Np", "Be", "Be", "B", "B", "B", "B", "B", "B", "B", "B", "B", "B", "B", "B", "B", "B", "B", "B", "B", "B", "B", "B"], "fractional_positions": [[0.1909, 0.1360, 0.0000], [0.3091, 0.6360, 0.0000], [0.6909, 0.3640, 0.0000], [0.8091, 0.8640, 0.0000], [0.0000, 0.5000, 0.5000], [0.5000, 0.0000, 0.5000], [0.0204, 0.3158, 0.5000], [0.1297, 0.9624, 0.5000], [0.1639, 0.8023, 0.5000], [0.1947, 0.3891, 0.1989], [0.1947, 0.3891, 0.8011], [0.3053, 0.8891, 0.1989], [0.3053, 0.8891, 0.8011], [0.3361, 0.3023, 0.5000], [0.3703, 0.4624, 0.5000], [0.4796, 0.8158, 0.5000], [0.5204, 0.1842, 0.5000], [0.6297, 0.5376, 0.5000], [0.6639, 0.6977, 0.5000], [0.6947, 0.1109, 0.1989], [0.6947, 0.1109, 0.8011], [0.8053, 0.6109, 0.1989], [0.8053, 0.6109, 0.8011], [0.8361, 0.1977, 0.5000], [0.8703, 0.0376, 0.5000], [0.9796, 0.6842, 0.5000]]}

---

Record 2
{"formula": "NpBeB", "functional": "GGA-PBE", "state": "relaxed", "cell": [[0.0000, 4.5739, 5.8421], [1.6878, 0.0000, 5.8421], [1.6878, 4.5739, 0.0000]], "species": ["Np", "Np", "Be", "Be", "B", "B"], "fractional_positions": [[0.1551, 0.8449, 0.1551], [0.8449, 0.1551, 0.8449], [0.2054, 0.2054, 0.7946], [0.7946, 0.7946, 0.2054], [0.3722, 0.3722, 0.6278], [0.6278, 0.6278, 0.3722]]}

---

Record 3
{"formula": "NpBeB4", "functional": "GGA-PBE", "state": "relaxed", "cell": [[5.8425, 0.0000, 0.0000], [0.0000, 11.3227, 0.0000], [0.0000, 0.0000, 3.3836]], "species": ["Np", "Np", "Np", "Np", "Be", "Be", "Be", "Be", "B", "B", "B", "B", "B", "B", "B", "B", "B", "B", "B", "B", "B", "B", "B", "B"], "fractional_positions": [[0.1273, 0.1503, 0.0000], [0.3727, 0.6503, 0.0000], [0.6273, 0.3497, 0.0000], [0.8727, 0.8497, 0.0000], [0.1319, 0.4126, 0.0000], [0.3681, 0.9126, 0.0000], [0.6319, 0.0874, 0.0000], [0.8681, 0.5874, 0.0000], [0.0276, 0.6921, 0.5000], [0.1129, 0.5460, 0.5000], [0.1350, 0.9674, 0.5000], [0.2152, 0.8130, 0.5000], [0.2848, 0.3130, 0.5000], [0.3650, 0.4674, 0.5000], [0.3871, 0.0460, 0.5000], [0.4724, 0.1921, 0.5000], [0.5276, 0.8079, 0.5000], [0.6129, 0.9540, 0.5000], [0.6350, 0.5326, 0.5000], [0.7152, 0.6870, 0.5000], [0.7848, 0.1870, 0.5000], [0.8650, 0.0326, 0.5000], [0.8871, 0.4540, 0.5000], [0.9724, 0.3079, 0.5000]]}

---

Record 4
{"formula": "Np2BeBPt6", "functional": "GGA-PBE", "state": "relaxed", "cell": [[0.0000, 4.3981, 4.3981], [4.3981, 0.0000, 4.3981], [4.3981, 4.3981, 0.0000]], "species": ["Np", "Np", "Be", "B", "Pt", "Pt", "Pt", "Pt", "Pt", "Pt"], "fractional_positions": [[0.2500, 0.2500, 0.2500], [0.7500, 0.7500, 0.7500], [0.0000, 0.0000, 0.0000], [0.5000, 0.5000, 0.5000], [0.2559, 0.2559, 0.7441], [0.2559, 0.7441, 0.2559], [0.2559, 0.7441, 0.7441], [0.7441, 0.2559, 0.2559], [0.7441, 0.2559, 0.7441], [0.7441, 0.7441, 0.2559]]}

---

| no. | ΔH_f (0 K) (eV/f.u.) | total moment (μB per cell) |
| --- | --- | --- |
| 1 | -4.38 | 13.44 |
| 2 | 1.15 | 3.40 |
| 3 | -1.79 | 11.86 |
| 4 | -3.78 | 7.41 |